Below is an optimized crystal structure of Tb2Sm3Sb3, with properties calculated at the GGA-PBE level.

a b c (Å): 9.1259 9.1259 6.4093
angles (deg): 90.00 90.00 120.00
With the nearest neighbours (Å) after each atom.
Space group P6_3/mcm (No. 193)
Inequivalent atoms, fractional coordinates:
Tb 0.3333 0.6667 0.0000  2 Tb 3.20, 6 Sb 3.24
Sm 0.0000 0.2481 0.2500  5 Sb 3.12-3.46
Sb 0.0000 0.3905 0.7500  5 Sm 3.12-3.46, 4 Tb 3.24

Summary:
Raw formation energy: -957 meV/atom
DFT total energy: -5.431 eV per atom